# 1
Computed, not measured: an optimized crystal structure of NaYMg30O32 at the GGA-PBE level of DFT.

Cell: 8.5891 8.5932 8.5932 Å, 90.00 90.00 90.00°
Closest atoms and distances in Å follow each position.
Fractional positions:
1 O 0.7502 0.2492 0.7508  6 Mg 2.14-2.16
2 Mg 0.2559 0.0000 0.2574  6 O 2.08-2.21
3 Mg 0.2496 0.5000 0.7473  6 O 2.13-2.17
4 Mg 0.0000 0.2587 0.7413  6 O 2.08-2.22
5 Mg 0.5000 0.5000 0.0000  6 O 2.11-2.15
6 Mg 0.5000 0.2516 0.2516  6 O 2.13-2.16
7 O 0.0000 0.5000 0.7621  5 Mg 2.04-2.15, 1 Na 2.25
8 Mg 0.7441 0.0000 0.7426  6 O 2.08-2.21
9 O 0.7366 0.5000 0.5000  5 Mg 2.03-2.13, 1 Na 2.26
10 O 0.0000 0.0000 0.7423  5 Mg 2.08-2.22, 1 Y 2.21
11 O 0.0000 0.0000 0.2577  5 Mg 2.08-2.22, 1 Y 2.21
12 Mg 0.2496 0.5000 0.2527  6 O 2.13-2.17
13 Mg 0.5000 0.5000 0.5000  6 O 2.03-2.17
14 O 0.7502 0.7508 0.7508  6 Mg 2.14-2.16
15 O 0.0000 0.2379 0.5000  5 Mg 2.04-2.15, 1 Na 2.25
16 O 0.2498 0.7508 0.7508  6 Mg 2.14-2.16
17 O 0.7502 0.7508 0.2492  6 Mg 2.14-2.16
18 O 0.2540 0.0000 0.5000  6 Mg 2.08-2.18
19 O 0.0000 0.5000 0.2379  5 Mg 2.04-2.15, 1 Na 2.25
20 Mg 0.5000 0.0000 0.0000  6 O 2.07-2.15
21 O 0.5000 0.5000 0.7524  6 Mg 2.13-2.17
22 O 0.5000 0.2476 0.5000  6 Mg 2.13-2.17
23 O 0.2498 0.7508 0.2492  6 Mg 2.14-2.16
24 Mg 0.2559 0.7426 0.0000  6 O 2.08-2.21
25 O 0.5000 0.7497 0.0000  6 Mg 2.10-2.16
26 O 0.5000 0.2503 0.0000  6 Mg 2.10-2.16
27 O 0.2498 0.2492 0.7508  6 Mg 2.14-2.16
28 Mg 0.7504 0.7473 0.5000  6 O 2.13-2.17
29 Mg 0.7504 0.2527 0.5000  6 O 2.13-2.17
30 O 0.7460 0.0000 0.5000  6 Mg 2.08-2.18
31 O 0.2595 0.0000 0.0000  5 Mg 2.07-2.21, 1 Y 2.23
32 Y 0.0000 0.0000 0.0000  6 O 2.21-2.23
33 O 0.5000 0.0000 0.2503  6 Mg 2.10-2.16
34 O 0.5000 0.0000 0.7497  6 Mg 2.10-2.16
35 O 0.0000 0.7423 0.0000  5 Mg 2.08-2.22, 1 Y 2.21
36 O 0.0000 0.2577 0.0000  5 Mg 2.08-2.22, 1 Y 2.21
37 Mg 0.7441 0.7426 0.0000  6 O 2.08-2.21
38 Mg 0.0000 0.7413 0.2587  6 O 2.08-2.22
39 Mg 0.2559 0.0000 0.7426  6 O 2.08-2.21
40 Mg 0.7504 0.5000 0.7473  6 O 2.13-2.17
41 Na 0.0000 0.5000 0.5000  6 O 2.25-2.26
42 Mg 0.0000 0.0000 0.5000  6 O 2.04-2.18
43 Mg 0.5000 0.2516 0.7484  6 O 2.13-2.16
44 Mg 0.7441 0.0000 0.2574  6 O 2.08-2.21
45 Mg 0.0000 0.7413 0.7413  6 O 2.08-2.22
46 Mg 0.5000 0.7484 0.2516  6 O 2.13-2.16
47 Mg 0.2496 0.7473 0.5000  6 O 2.13-2.17
48 Mg 0.7441 0.2574 0.0000  6 O 2.08-2.21
49 O 0.0000 0.7621 0.5000  5 Mg 2.04-2.15, 1 Na 2.25
50 Mg 0.0000 0.5000 0.0000  6 O 2.04-2.18
51 O 0.2498 0.2492 0.2492  6 Mg 2.14-2.16
52 Mg 0.7504 0.5000 0.2527  6 O 2.13-2.17
53 Mg 0.2496 0.2527 0.5000  6 O 2.13-2.17
54 O 0.5000 0.7524 0.5000  6 Mg 2.13-2.17
55 Mg 0.5000 0.0000 0.5000  6 O 2.11-2.15
56 O 0.7502 0.2492 0.2492  6 Mg 2.14-2.16
57 O 0.7460 0.5000 0.0000  6 Mg 2.08-2.18
58 O 0.2540 0.5000 0.0000  6 Mg 2.08-2.18
59 O 0.7405 0.0000 0.0000  5 Mg 2.07-2.21, 1 Y 2.23
60 Mg 0.2559 0.2574 0.0000  6 O 2.08-2.21
61 O 0.5000 0.5000 0.2476  6 Mg 2.13-2.17
62 O 0.2634 0.5000 0.5000  5 Mg 2.03-2.13, 1 Na 2.26
63 Mg 0.0000 0.2587 0.2587  6 O 2.08-2.22
64 Mg 0.5000 0.7484 0.7484  6 O 2.13-2.16

Properties
E_tot in eV per atom: -6.03
Uncorrected formation energy in eV/atom: -2.683
ρ in g cm⁻³: 3.54

# 2
Computed, not measured: an optimized crystal structure of NaYMg14O16 at the GGA-PBE level of DFT.

Cell: 8.6671 8.6671 4.3516 Å, 90.00 90.00 90.00°
Closest atoms and distances in Å follow each position.
Fractional positions:
1 Mg 0.0000 0.5000 0.0000  6 O 2.05-2.18
2 O 0.7426 0.0000 0.0000  5 Mg 2.10-2.26, 1 Y 2.23
3 Mg 0.2561 0.5000 0.5000  6 O 2.11-2.22
4 Mg 0.7396 0.2604 0.0000  6 O 2.09-2.26
5 O 0.5000 0.0000 0.5000  6 Mg 2.04-2.22
6 O 0.2574 0.0000 0.0000  5 Mg 2.10-2.26, 1 Y 2.23
7 Mg 0.0000 0.7352 0.5000  5 O 2.04-2.18
8 O 0.2485 0.2485 0.5000  6 Mg 2.16-2.18
9 O 0.7515 0.2485 0.5000  6 Mg 2.16-2.18
10 O 0.0000 0.5000 0.5000  6 Mg 2.04-2.22
11 O 0.0000 0.2574 0.0000  5 Mg 2.10-2.26, 1 Y 2.23
12 Mg 0.5000 0.7439 0.5000  6 O 2.11-2.22
13 Mg 0.5000 0.2561 0.5000  6 O 2.11-2.22
14 O 0.5000 0.5000 0.5000  4 Mg 2.11, 2 Na 2.18
15 Na 0.5000 0.5000 0.0000  6 O 2.18-2.28
16 Mg 0.2648 0.0000 0.5000  5 O 2.04-2.18
17 Mg 0.2604 0.7396 0.0000  6 O 2.09-2.26
18 Y 0.0000 0.0000 0.0000  6 O 2.18-2.23
19 Mg 0.7352 0.0000 0.5000  5 O 2.04-2.18
20 Mg 0.7439 0.5000 0.5000  6 O 2.11-2.22
21 O 0.5000 0.2364 0.0000  5 Mg 2.05-2.18, 1 Na 2.28
22 O 0.7515 0.7515 0.5000  6 Mg 2.16-2.18
23 O 0.7636 0.5000 0.0000  5 Mg 2.05-2.18, 1 Na 2.28
24 O 0.2364 0.5000 0.0000  5 Mg 2.05-2.18, 1 Na 2.28
25 Mg 0.5000 0.0000 0.0000  6 O 2.05-2.18
26 O 0.5000 0.7636 0.0000  5 Mg 2.05-2.18, 1 Na 2.28
27 Mg 0.7396 0.7396 0.0000  6 O 2.09-2.26
28 O 0.0000 0.0000 0.5000  2 Y 2.18, 4 Mg 2.29
29 Mg 0.0000 0.2648 0.5000  5 O 2.04-2.18
30 O 0.0000 0.7426 0.0000  5 Mg 2.10-2.26, 1 Y 2.23
31 Mg 0.2604 0.2604 0.0000  6 O 2.09-2.26
32 O 0.2485 0.7515 0.5000  6 Mg 2.16-2.18

Properties
E_tot in eV per atom: -6.07
E above lowest polymorph in meV/atom: 0.0
Uncorrected formation energy in eV/atom: -2.650
ρ in g cm⁻³: 3.60

# 3
Computed, not measured: an optimized crystal structure of NaYMg6O8 at the GGA-PBE level of DFT.

Cell: 4.4087 4.4087 8.9421 Å, 90.00 90.00 90.00°
Closest atoms and distances in Å follow each position.
Fractional positions:
1 Y 0.0000 0.0000 0.0000  6 O 2.20-2.21
2 Mg 0.5000 0.0000 0.2734  5 O 2.03-2.22
3 O 0.5000 0.0000 0.0000  4 Mg 2.20-2.44, 2 Y 2.20
4 Na 0.0000 0.0000 0.5000  6 O 2.20-2.26
5 Mg 0.0000 0.5000 0.2734  5 O 2.03-2.22
6 O 0.5000 0.5000 0.7522  6 Mg 2.22-2.25
7 O 0.0000 0.0000 0.7528  1 Y 2.21, 4 Mg 2.22, 1 Na 2.26
8 O 0.0000 0.5000 0.0000  4 Mg 2.20-2.44, 2 Y 2.20
9 O 0.0000 0.0000 0.2472  1 Y 2.21, 4 Mg 2.22, 1 Na 2.26
10 O 0.0000 0.5000 0.5000  4 Mg 2.03-2.20, 2 Na 2.20
11 Mg 0.5000 0.0000 0.7266  5 O 2.03-2.22
12 O 0.5000 0.0000 0.5000  4 Mg 2.03-2.20, 2 Na 2.20
13 O 0.5000 0.5000 0.2478  6 Mg 2.22-2.25
14 Mg 0.0000 0.5000 0.7266  5 O 2.03-2.22
15 Mg 0.5000 0.5000 0.5000  6 O 2.20-2.25
16 Mg 0.5000 0.5000 0.0000  6 O 2.20-2.22

Properties
E_tot in eV per atom: -6.14
E above lowest polymorph in meV/atom: 49.9
Uncorrected formation energy in eV/atom: -2.578
ρ in g cm⁻³: 3.69

# 4
Computed, not measured: an optimized crystal structure of NaYMg14O16 at the GGA-PBE level of DFT.

Cell: 4.3432 8.6320 8.7303 Å, 90.00 90.00 90.00°
Closest atoms and distances in Å follow each position.
Fractional positions:
1 Mg 0.0000 0.5000 0.0000  6 O 2.06-2.17
2 Mg 0.5000 0.2491 0.5000  6 O 2.15-2.19
3 O 0.5000 0.5000 0.5000  6 Mg 2.15-2.17
4 O 0.5000 0.7502 0.2487  6 Mg 2.16-2.19
5 O 0.0000 0.7391 0.0000  5 Mg 2.06-2.28, 1 Y 2.25
6 O 0.0000 0.2609 0.0000  5 Mg 2.06-2.28, 1 Y 2.25
7 Mg 0.0000 0.2546 0.7390  6 O 2.09-2.28
8 O 0.5000 0.5000 0.0000  6 Mg 2.05-2.22
9 Mg 0.0000 0.5000 0.5000  6 O 2.02-2.20
10 Mg 0.5000 0.0000 0.7316  5 O 2.02-2.18
11 O 0.5000 0.0000 0.5000  4 Mg 2.02-2.15, 2 Na 2.17
12 Mg 0.5000 0.5000 0.2539  6 O 2.15-2.22
13 Mg 0.0000 0.7454 0.2610  6 O 2.09-2.28
14 Mg 0.5000 0.5000 0.7461  6 O 2.15-2.22
15 Mg 0.0000 0.2546 0.2610  6 O 2.09-2.28
16 Na 0.0000 0.0000 0.5000  6 O 2.17-2.30
17 O 0.5000 0.2498 0.7513  6 Mg 2.16-2.19
18 O 0.0000 0.2663 0.5000  5 Mg 2.02-2.18
19 O 0.0000 0.0000 0.7504  4 Mg 2.18-2.20, 1 Y 2.18, 1 Na 2.19
20 Mg 0.5000 0.0000 0.2684  5 O 2.02-2.18
21 Mg 0.5000 0.7509 0.5000  6 O 2.15-2.19
22 O 0.0000 0.5000 0.7523  6 Mg 2.12-2.20
23 O 0.5000 0.2498 0.2487  6 Mg 2.16-2.19
24 O 0.5000 0.7502 0.7513  6 Mg 2.16-2.19
25 O 0.0000 0.7337 0.5000  5 Mg 2.02-2.18
26 Mg 0.0000 0.7454 0.7390  6 O 2.09-2.28
27 O 0.5000 0.0000 0.0000  2 Y 2.17, 4 Mg 2.26-2.34
28 Mg 0.5000 0.2620 0.0000  6 O 2.05-2.26
29 O 0.0000 0.5000 0.2477  6 Mg 2.12-2.20
30 O 0.0000 0.0000 0.2496  4 Mg 2.18-2.20, 1 Y 2.18, 1 Na 2.19
31 Mg 0.5000 0.7380 0.0000  6 O 2.05-2.26
32 Y 0.0000 0.0000 0.0000  6 O 2.17-2.25

Properties
E_tot in eV per atom: -6.07
E above lowest polymorph in meV/atom: 3.4
Uncorrected formation energy in eV/atom: -2.646
ρ in g cm⁻³: 3.59

# 5
Computed, not measured: an optimized crystal structure of NaYMg6O8 at the GGA-PBE level of DFT.

Cell: 4.4045 4.4045 8.8463 Å, 90.00 90.00 90.00°
Closest atoms and distances in Å follow each position.
Fractional positions:
1 O 0.0000 0.5000 0.5000  6 Mg 2.09-2.20
2 Mg 0.0000 0.5000 0.7365  6 O 2.09-2.33
3 O 0.5000 0.0000 0.5000  6 Mg 2.09-2.20
4 O 0.0000 0.0000 0.2608  5 Mg 2.12-2.20, 1 Y 2.31
5 O 0.0000 0.0000 0.7392  5 Mg 2.12-2.20, 1 Y 2.31
6 Na 0.5000 0.5000 0.0000  6 O 2.20-2.37
7 O 0.5000 0.5000 0.2684  5 Mg 2.05-2.20
8 Mg 0.5000 0.0000 0.2635  6 O 2.09-2.33
9 Mg 0.0000 0.0000 0.5000  6 O 2.12-2.20
10 Mg 0.0000 0.5000 0.2635  6 O 2.09-2.33
11 Mg 0.5000 0.5000 0.5000  6 O 2.05-2.20
12 Mg 0.5000 0.0000 0.7365  6 O 2.09-2.33
13 O 0.5000 0.0000 0.0000  2 Na 2.20, 2 Y 2.20, 2 Mg 2.33
14 Y 0.0000 0.0000 0.0000  6 O 2.20-2.31
15 O 0.5000 0.5000 0.7316  5 Mg 2.05-2.20
16 O 0.0000 0.5000 0.0000  2 Na 2.20, 2 Y 2.20, 2 Mg 2.33

Properties
E_tot in eV per atom: -6.19
E above lowest polymorph in meV/atom: 0.0
Uncorrected formation energy in eV/atom: -2.628
ρ in g cm⁻³: 3.73

# 6
Computed, not measured: an optimized crystal structure of Na3Mg2ZrO6 at the GGA-PBE level of DFT.

Cell: 5.4752 5.4752 5.7654 Å, 99.05 99.05 120.02°
Closest atoms and distances in Å follow each position.
Fractional positions:
1 O 0.9313 0.6014 0.7939  1 Zr 2.13, 2 Mg 2.15-2.16
2 O 0.7388 0.7388 0.2066  1 Zr 2.13, 2 Mg 2.15
3 Mg 0.3334 0.6666 0.0000  6 O 2.15-2.16
4 Na 0.1723 0.8277 0.5000  6 O 2.41-2.46
5 Na 0.8277 0.1723 0.5000  6 O 2.41-2.46
6 Zr 0.0000 0.0000 0.0000  6 O 2.13
7 O 0.2612 0.2612 0.7934  1 Zr 2.13, 2 Mg 2.15
8 O 0.3986 0.0687 0.2061  1 Zr 2.13, 2 Mg 2.15-2.16
9 O 0.0687 0.3986 0.2061  1 Zr 2.13, 2 Mg 2.15-2.16
10 Mg 0.6666 0.3334 0.0000  6 O 2.15-2.16
11 O 0.6014 0.9313 0.7939  1 Zr 2.13, 2 Mg 2.15-2.16
12 Na 0.5000 0.5000 0.5000  6 O 2.43-2.44

Properties
E_tot in eV per atom: -6.05
Uncorrected formation energy in eV/atom: -2.264
ρ in g cm⁻³: 3.56

# 7
Computed, not measured: an optimized crystal structure of NaMg2ZrO at the GGA-PBE level of DFT.

Cell: 6.1120 4.0066 6.1120 Å, 90.00 90.00 90.00°
Closest atoms and distances in Å follow each position.
Fractional positions:
1 Mg 0.0000 0.0000 0.5000  2 Zr 3.06
2 O 0.0000 0.5000 0.0000  2 Zr 2.00
3 Zr 0.0000 0.0000 0.0000  2 O 2.00
4 Na 0.5000 0.5000 0.5000  8 Mg 3.65, 2 Na 4.01
5 Mg 0.5000 0.0000 0.0000  2 Zr 3.06

Properties
E_tot in eV per atom: -3.96
Uncorrected formation energy in eV/atom: -0.358
ρ in g cm⁻³: 1.98

# 8
Computed, not measured: an optimized crystal structure of NaMg2Os at the GGA-PBE level of DFT.

Cell: 4.6757 4.6757 4.6757 Å, 60.00 60.00 60.00°
Closest atoms and distances in Å follow each position.
Fractional positions:
1 Os 0.5000 0.5000 0.5000  8 Mg 2.86
2 Na 0.0000 0.0000 0.0000  8 Mg 2.86
3 Mg 0.7500 0.7500 0.7500  4 Na 2.86, 4 Os 2.86
4 Mg 0.2500 0.2500 0.2500  4 Na 2.86, 4 Os 2.86

Properties
Formation enthalpy at 0 K in eV/f.u.: 1.7
E_tot in eV per atom: -3.51
E above lowest polymorph in meV/atom: 0.0
ρ in g cm⁻³: 6.02

# 9
Computed, not measured: an optimized crystal structure of NaMg2Os at the GGA-PBE level of DFT.

Cell: 4.2353 4.2353 9.7857 Å, 77.50 77.50 90.00°
Closest atoms and distances in Å follow each position.
Fractional positions:
1 Na 0.2500 0.7500 0.5000  4 Mg 2.83, 4 Os 2.99
2 Mg 0.8750 0.9089 0.7500  2 Os 2.72, 2 Mg 2.80, 2 Na 2.83
3 Os 0.7500 0.2500 0.5000  4 Mg 2.72, 4 Na 2.99
4 Na 0.5000 0.5000 0.0000  4 Mg 2.83, 4 Os 2.99
5 Mg 0.0911 0.6250 0.2500  2 Os 2.72, 2 Mg 2.80, 2 Na 2.83
6 Mg 0.3750 0.3411 0.7500  2 Os 2.72, 2 Mg 2.80, 2 Na 2.83
7 Mg 0.6589 0.1250 0.2500  2 Os 2.72, 2 Mg 2.80, 2 Na 2.83
8 Os 0.0000 0.0000 0.0000  4 Mg 2.72, 4 Na 2.99

Properties
Formation enthalpy at 0 K in eV/f.u.: 3.8
E_tot in eV per atom: -3.00
E above lowest polymorph in meV/atom: 517.1
ρ in g cm⁻³: 5.20

Q: Number 6 is which compound?
A: Na3Mg2ZrO6

Q: What is the formula in the fifth record?
A: NaYMg6O8

What did the sixth record say?
Computed, not measured: an optimized crystal structure of Na3Mg2ZrO6 at the GGA-PBE level of DFT.

Cell: 5.4752 5.4752 5.7654 Å, 99.05 99.05 120.02°
Closest atoms and distances in Å follow each position.
Fractional positions:
1 O 0.9313 0.6014 0.7939  1 Zr 2.13, 2 Mg 2.15-2.16
2 O 0.7388 0.7388 0.2066  1 Zr 2.13, 2 Mg 2.15
3 Mg 0.3334 0.6666 0.0000  6 O 2.15-2.16
4 Na 0.1723 0.8277 0.5000  6 O 2.41-2.46
5 Na 0.8277 0.1723 0.5000  6 O 2.41-2.46
6 Zr 0.0000 0.0000 0.0000  6 O 2.13
7 O 0.2612 0.2612 0.7934  1 Zr 2.13, 2 Mg 2.15
8 O 0.3986 0.0687 0.2061  1 Zr 2.13, 2 Mg 2.15-2.16
9 O 0.0687 0.3986 0.2061  1 Zr 2.13, 2 Mg 2.15-2.16
10 Mg 0.6666 0.3334 0.0000  6 O 2.15-2.16
11 O 0.6014 0.9313 0.7939  1 Zr 2.13, 2 Mg 2.15-2.16
12 Na 0.5000 0.5000 0.5000  6 O 2.43-2.44

Properties
E_tot in eV per atom: -6.05
Uncorrected formation energy in eV/atom: -2.264
ρ in g cm⁻³: 3.56

Copy entry 5 word for word.
Computed, not measured: an optimized crystal structure of NaYMg6O8 at the GGA-PBE level of DFT.

Cell: 4.4045 4.4045 8.8463 Å, 90.00 90.00 90.00°
Closest atoms and distances in Å follow each position.
Fractional positions:
1 O 0.0000 0.5000 0.5000  6 Mg 2.09-2.20
2 Mg 0.0000 0.5000 0.7365  6 O 2.09-2.33
3 O 0.5000 0.0000 0.5000  6 Mg 2.09-2.20
4 O 0.0000 0.0000 0.2608  5 Mg 2.12-2.20, 1 Y 2.31
5 O 0.0000 0.0000 0.7392  5 Mg 2.12-2.20, 1 Y 2.31
6 Na 0.5000 0.5000 0.0000  6 O 2.20-2.37
7 O 0.5000 0.5000 0.2684  5 Mg 2.05-2.20
8 Mg 0.5000 0.0000 0.2635  6 O 2.09-2.33
9 Mg 0.0000 0.0000 0.5000  6 O 2.12-2.20
10 Mg 0.0000 0.5000 0.2635  6 O 2.09-2.33
11 Mg 0.5000 0.5000 0.5000  6 O 2.05-2.20
12 Mg 0.5000 0.0000 0.7365  6 O 2.09-2.33
13 O 0.5000 0.0000 0.0000  2 Na 2.20, 2 Y 2.20, 2 Mg 2.33
14 Y 0.0000 0.0000 0.0000  6 O 2.20-2.31
15 O 0.5000 0.5000 0.7316  5 Mg 2.05-2.20
16 O 0.0000 0.5000 0.0000  2 Na 2.20, 2 Y 2.20, 2 Mg 2.33

Properties
E_tot in eV per atom: -6.19
E above lowest polymorph in meV/atom: 0.0
Uncorrected formation energy in eV/atom: -2.628
ρ in g cm⁻³: 3.73